BPdRu3, optimized geometry, DFT GGA-PBE; DFT formation energy = 0.25 eV/atom; E above lowest polymorph = 0.0 meV per atom; symmetry = Pm-3m, No. 221
1.0
4.0654 0.0000 0.0000
0.0000 4.0654 0.0000
0.0000 0.0000 4.0654
Ru Pd B
3 1 1
Direct
0.0000 0.5000 0.0000
0.0000 0.0000 0.5000
0.5000 0.0000 0.0000
0.5000 0.5000 0.5000
0.0000 0.0000 0.0000